Density functional theory data (PBE) for a relaxed K2Co2Pd crystal.

Cell lengths 6.3738, 6.3738, 5.5017 Å; angles 90.00, 90.00, 90.00 degrees
Last column: nearest neighbours and their distance in Å.
Atoms (fractional coordinates):
K 0.1884 0.3116 0.0000  6 Co 3.24-3.41, 5 K 3.28-3.40, 4 Pd 3.60
K 0.3116 0.8116 0.0000  6 Co 3.24-3.41, 5 K 3.28-3.40, 4 Pd 3.60
K 0.6884 0.1884 0.0000  6 Co 3.24-3.41, 5 K 3.28-3.40, 4 Pd 3.60
K 0.8116 0.6884 0.0000  6 Co 3.24-3.41, 5 K 3.28-3.40, 4 Pd 3.60
Co 0.1210 0.6210 0.5000  1 Co 2.18
Co 0.3790 0.1210 0.5000  1 Co 2.18
Co 0.6210 0.8790 0.5000  1 Co 2.18
Co 0.8790 0.3790 0.5000  1 Co 2.18
Pd 0.0000 0.0000 0.5000  4 Co 2.54
Pd 0.5000 0.5000 0.5000  4 Co 2.54

Properties
Space-group type: P4/mbm
DOS at the Fermi energy, states/eV/atom: 1.01
Energy relative to the lowest polymorph listed for this composition, meV per atom: 0
Size of the total moment, μB per atom: 0.728
E_form, eV per atom: 0.61